A plane-wave DFT calculation with PBE was carried out for a relaxed structure of Tl8Ga.

The structure in POSCAR format:
```
Tl8Ga
1.0
-5.935 5.935 1.902
5.935 -5.935 1.902
5.935 5.935 -1.902
Tl Ga
8 1
Cartesian
3.943 0.000 0.000 Tl
7.927 0.000 0.000 Tl
0.000 3.943 0.000 Tl
4.042 4.042 0.000 Tl
1.892 -1.892 1.902 Tl
-1.892 1.892 1.902 Tl
1.892 1.892 1.902 Tl
0.000 7.927 0.000 Tl
0.000 0.000 0.000 Ga
```

Output
* relative energy among the computed polymorphs: 0 meV per atom
* ΔE_f: 0.04 eV per atom
* volume: 29.770 Å³ per atom
* density: 10.6 g/cm³
* DOS at the Fermi energy: 5.01 states/eV/f.u.